Entry 1:
Here is a relaxed Tc3Ir2 crystal from Alexandria via LeMat-Bulk. Energies are from GGA-PBE.

CIF file:
```
data_Tc3Ir2
_cell_length_a 6.3021
_cell_length_b 13.3799
_cell_length_c 7.1675
_cell_angle_alpha 90.00
_cell_angle_beta 90.00
_cell_angle_gamma 90.00
_space_group_name_H-M_alt 'F d d 2'
_space_group_IT_number 43
_space_group_name_Hall 'F 2 -2d'
loop_
_atom_site_label
_atom_site_fract_x
_atom_site_fract_y
_atom_site_fract_z
_atom_site_occupancy
Tc1 0.0000 0.0000 0.0000 1
Tc2 0.0647 0.4075 0.8217 1
Ir1 0.0773 0.1888 0.9324 1
```

Summary:
- energy (eV per atom) = -9.6781
- ΔH_f (0 K) (eV/atom) = 0.09

***

Entry 2:
Here is a relaxed TcIr crystal from Alexandria via LeMat-Bulk. Energies are from GGA-PBE.

CIF file:
```
data_TcIr
_cell_length_a 4.2911
_cell_length_b 4.2911
_cell_length_c 7.9837
_cell_angle_alpha 90.00
_cell_angle_beta 90.00
_cell_angle_gamma 120.00
_space_group_name_H-M_alt 'P 63/m m c'
_space_group_IT_number 194
_space_group_name_Hall '-P 6c 2c'
loop_
_atom_site_label
_atom_site_fract_x
_atom_site_fract_y
_atom_site_fract_z
_atom_site_occupancy
Tc1 0.3333 0.6667 0.0904 1
Ir1 0.0000 0.0000 0.2500 1
Ir2 0.3333 0.6667 0.7500 1
```

Summary:
- energy (eV per atom) = -9.2310
- ΔH_f (0 K) (eV/atom) = 0.38

***

Entry 3:
Here is a relaxed Tc3Ir crystal from Alexandria via LeMat-Bulk. Energies are from GGA-PBE.

CIF file:
```
data_Tc3Ir
_cell_length_a 3.2642
_cell_length_b 3.2642
_cell_length_c 5.5951
_cell_angle_alpha 90.00
_cell_angle_beta 90.00
_cell_angle_gamma 90.00
_space_group_name_H-M_alt 'P 4/m m m'
_space_group_IT_number 123
_space_group_name_Hall '-P 4 2'
loop_
_atom_site_label
_atom_site_fract_x
_atom_site_fract_y
_atom_site_fract_z
_atom_site_occupancy
Tc1 0.0000 0.0000 0.0000 1
Tc2 0.5000 0.5000 0.2632 1
Ir1 0.0000 0.0000 0.5000 1
```

Summary:
- energy (eV per atom) = -9.7338
- ΔH_f (0 K) (eV/atom) = 0.26

***

Entry 4:
Here is a relaxed Tc5Ir crystal from Alexandria via LeMat-Bulk. Energies are from GGA-PBE.

CIF file:
```
data_Tc5Ir
_cell_length_a 4.7946
_cell_length_b 4.7946
_cell_length_c 4.3729
_cell_angle_alpha 90.00
_cell_angle_beta 90.00
_cell_angle_gamma 120.00
_space_group_name_H-M_alt 'P -6 2 m'
_space_group_IT_number 189
_space_group_name_Hall 'P -6 -2'
loop_
_atom_site_label
_atom_site_fract_x
_atom_site_fract_y
_atom_site_fract_z
_atom_site_occupancy
Tc1 0.0000 0.6668 0.0000 1
Tc2 0.3333 0.6667 0.5000 1
Ir1 0.0000 0.0000 0.5000 1
```

Summary:
- energy (eV per atom) = -10.2238
- ΔH_f (0 K) (eV/atom) = -0.11

***

Table of energy above the most stable polymorph in this dataset (meV per atom), in record order: 119.8; 665.8; 472.8; 5.3
Table of total magnetization (μB/f.u.), in record order: 0.00; 0.00; 0.00; 0.00